Record 1
# ZnPbW, relaxed, DFT PBE-GGA
# **E above lowest polymorph**: 0.000 eV/atom
# **Formation energy from the elements**: 0.729 eV per atom
data_ZnPbW
_symmetry_space_group_name_H-M 'P 3 m 1'
_symmetry_Int_Tables_number 156
_cell_length_a 3.0663
_cell_length_b 3.0663
_cell_length_c 7.3057
_cell_angle_alpha 90.00
_cell_angle_beta 90.00
_cell_angle_gamma 120.00
loop_
_symmetry_equiv_pos_as_xyz
'x,y,z'
'-y,x-y,z'
'-x+y,-x,z'
'-y,-x,z'
'-x+y,y,z'
'x,x-y,z'
loop_
_atom_site_label
_atom_site_fract_x
_atom_site_fract_y
_atom_site_fract_z
_atom_site_occupancy
Zn1 0.0000 0.0000 0.0000 1
Pb1 0.6667 0.3333 0.3713 1
W1 0.3333 0.6667 0.7192 1

Record 2
# Ba3Mg2NpO9, relaxed, DFT PBE-GGA
# **Formation energy without anion corrections**: -2.636 eV per atom
data_Ba3Mg2NpO9
_symmetry_space_group_name_H-M 'P -3 m 1'
_symmetry_Int_Tables_number 164
_symmetry_space_group_name_Hall '-P 3 2"'
_cell_length_a 5.8921
_cell_length_b 5.8921
_cell_length_c 7.4011
_cell_angle_alpha 90.00
_cell_angle_beta 90.00
_cell_angle_gamma 120.00
loop_
_atom_site_label
_atom_site_fract_x
_atom_site_fract_y
_atom_site_fract_z
_atom_site_occupancy
Ba1 0.0000 0.0000 0.0000 1
Ba2 0.3333 0.6667 0.7010 1
Mg1 0.3333 0.6667 0.1577 1
Np1 0.0000 0.0000 0.5000 1
O1 0.0000 0.5000 0.0000 1
O2 0.1617 0.3233 0.3404 1